1:
Computed, not measured: crystalline Nd2DyGa at its relaxed geometry at the GGA-PBE level of DFT.

Cell lengths 3.5658, 3.5658, 34.6585 Å; angles 90.00, 90.00, 120.00 degrees
Space group R-3m (No. 166, hexagonal axes)
Unique sites:
Nd  0.0000  0.0000  0.1013 (multiplicity 6)
Dy  0.0000  0.0000  0.0000 (multiplicity 3)
Ga  0.0000  0.0000  0.5000 (multiplicity 3)

Computed properties:
- Calculated volume: 381.6 Å³/cell
- Crystal system: trigonal

=====

2:
Computed, not measured: crystalline Nd2DyGa at its relaxed geometry at the GGA-PBE level of DFT.

Cell lengths 3.614, 3.614, 9.050 Å; angles 90.00, 90.00, 90.00 degrees
Space group P4/mmm (No. 123)
Unique sites:
Nd  0.000  0.000  0.212 (multiplicity 2)
Dy  0.500  0.500  0.500 (multiplicity 1)
Ga  0.500  0.500  0.000 (multiplicity 1)

Computed properties:
- Calculated volume: 118.2 Å³/cell
- Crystal system: tetragonal

=====

3:
Computed, not measured: crystalline Nd2DyGa at its relaxed geometry at the GGA-PBE level of DFT.

Cell lengths 7.686, 7.686, 7.686 Å; angles 90.00, 90.00, 90.00 degrees
Space group Fm-3m (No. 225)
Unique sites:
Nd  0.250  0.250  0.250 (multiplicity 8)
Dy  0.000  0.000  0.000 (multiplicity 4)
Ga  0.000  0.000  0.500 (multiplicity 4)

Computed properties:
- Calculated volume: 454.1 Å³/cell
- Crystal system: cubic

=====

4:
Computed, not measured: crystalline Nd2DyGa at its relaxed geometry at the GGA-PBE level of DFT.

Cell lengths 3.7123, 3.7123, 31.3206 Å; angles 90.00, 90.00, 120.00 degrees
Space group R3m (No. 160, hexagonal axes)
Unique sites:
Nd  0.0000  0.0000  0.0000 (multiplicity 3)
Nd  0.0000  0.0000  0.1899 (multiplicity 3)
Dy  0.0000  0.0000  0.4285 (multiplicity 3)
Ga  0.0000  0.0000  0.5946 (multiplicity 3)

Computed properties:
- Calculated volume: 373.8 Å³/cell
- Crystal system: trigonal

=====

Which of them is most stable? Easy: 2.

=====

1:
Computed, not measured: crystalline Nd2DyGa at its relaxed geometry at the GGA-PBE level of DFT.

Cell lengths 4.806, 4.806, 4.851 Å; angles 90.00, 90.00, 90.00 degrees
Space group P4/mmm (No. 123)
Unique sites:
Nd  0.000  0.500  0.000 (multiplicity 2)
Dy  0.000  0.000  0.500 (multiplicity 1)
Ga  0.500  0.500  0.500 (multiplicity 1)

Computed properties:
- Calculated volume: 112.0 Å³/cell
- Crystal system: tetragonal

=====

2:
Computed, not measured: crystalline Nd2DyGa at its relaxed geometry at the GGA-PBE level of DFT.

Cell lengths 3.705, 9.984, 6.699 Å; angles 90.00, 106.04, 90.00 degrees
Space group P2_1/m (No. 11)
Unique sites:
Nd  0.136  0.048  0.271 (multiplicity 4)
Dy  0.443  0.250  0.887 (multiplicity 2)
Ga  0.243  0.750  0.484 (multiplicity 2)

Computed properties:
- Calculated volume: 238.2 Å³/cell
- Crystal system: monoclinic

=====

Which of them is most stable? Easy: 2.

=====

1:
Computed, not measured: crystalline NdDy3Ga2 at its relaxed geometry at the GGA-PBE level of DFT.

Cell lengths 4.979, 9.584, 6.626 Å; angles 90.00, 90.00, 90.00 degrees
Space group Pmc2_1 (No. 26)
Unique sites:
Nd  0.000  0.050  0.000 (multiplicity 2)
Dy  0.000  0.326  0.630 (multiplicity 2)
Dy  0.500  0.185  0.290 (multiplicity 2)
Dy  0.500  0.446  0.925 (multiplicity 2)
Ga  0.000  0.362  0.171 (multiplicity 2)
Ga  0.500  0.143  0.747 (multiplicity 2)

Computed properties:
- Calculated volume: 316.2 Å³/cell
- Crystal system: orthorhombic

=====

2:
Computed, not measured: crystalline NdDy3Ga2 at its relaxed geometry at the GGA-PBE level of DFT.

Cell lengths 16.132, 5.120, 8.867 Å; angles 90.00, 117.24, 90.00 degrees
Space group C2/m (No. 12)
Unique sites:
Nd  0.129  0.000  0.189 (multiplicity 4)
Dy  0.063  0.000  0.717 (multiplicity 4)
Dy  0.122  0.500  0.510 (multiplicity 4)
Dy  0.188  0.500  0.992 (multiplicity 4)
Ga  0.012  0.500  0.150 (multiplicity 4)
Ga  0.225  0.000  0.614 (multiplicity 4)

Computed properties:
- Calculated volume: 651.1 Å³/cell
- Crystal system: monoclinic

=====

Which of them is most stable? Easy: 1.

=====

1:
Computed, not measured: crystalline Nd2DyGa3 at its relaxed geometry at the GGA-PBE level of DFT.

Cell lengths 4.714, 21.158, 6.282 Å; angles 90.00, 90.00, 90.00 degrees
Space group Cmcm (No. 63)
Unique sites:
Nd  0.000  0.035  0.250 (multiplicity 4)
Nd  0.000  0.147  0.750 (multiplicity 4)
Dy  0.000  0.325  0.750 (multiplicity 4)
Ga  0.000  0.256  0.250 (multiplicity 4)
Ga  0.000  0.438  0.047 (multiplicity 8)

Computed properties:
- Calculated volume: 626.5 Å³/cell
- Crystal system: orthorhombic

=====

2:
Computed, not measured: crystalline Nd2DyGa3 at its relaxed geometry at the GGA-PBE level of DFT.

Cell lengths 5.1621, 5.1621, 12.7055 Å; angles 90.00, 90.00, 120.00 degrees
Space group P-3m1 (No. 164)
Unique sites:
Nd  0.0000  0.0000  0.0000 (multiplicity 1)
Nd  0.0000  0.0000  0.5000 (multiplicity 1)
Nd  0.3333  0.6667  0.1706 (multiplicity 2)
Dy  0.3333  0.6667  0.6664 (multiplicity 2)
Ga  0.0000  0.0000  0.2533 (multiplicity 2)
Ga  0.3333  0.6667  0.4185 (multiplicity 2)
Ga  0.3333  0.6667  0.9147 (multiplicity 2)

Computed properties:
- Calculated volume: 293.2 Å³/cell
- Crystal system: trigonal

=====

Which of them is most stable? Easy: 2.

=====

1:
Computed, not measured: crystalline NdDyGaNi at its relaxed geometry at the GGA-PBE level of DFT.

Cell lengths 7.109, 7.109, 7.109 Å; angles 90.00, 90.00, 90.00 degrees
Space group F-43m (No. 216)
Unique sites:
Nd  0.000  0.000  0.000 (multiplicity 4)
Dy  0.000  0.000  0.500 (multiplicity 4)
Ga  0.250  0.250  0.750 (multiplicity 4)
Ni  0.250  0.250  0.250 (multiplicity 4)

Computed properties:
- Calculated volume: 359.3 Å³/cell
- Crystal system: cubic

=====

2:
Computed, not measured: crystalline NdDyGaNi at its relaxed geometry at the GGA-PBE level of DFT.

Cell lengths 4.309, 3.827, 11.171 Å; angles 90.00, 90.00, 90.00 degrees
Space group Amm2 (No. 38)
Unique sites:
Nd  0.000  0.000  0.000 (multiplicity 2)
Dy  0.500  0.000  0.713 (multiplicity 2)
Ga  0.500  0.000  0.417 (multiplicity 2)
Ni  0.000  0.000  0.283 (multiplicity 2)

Computed properties:
- Calculated volume: 184.2 Å³/cell
- Crystal system: orthorhombic

=====

Which of them is most stable? Easy: 2.

=====

1:
Computed, not measured: crystalline NdDyGaPt at its relaxed geometry at the GGA-PBE level of DFT.

Cell lengths 7.207, 7.207, 7.207 Å; angles 90.00, 90.00, 90.00 degrees
Space group F-43m (No. 216)
Unique sites:
Nd  0.000  0.000  0.000 (multiplicity 4)
Dy  0.000  0.000  0.500 (multiplicity 4)
Ga  0.250  0.250  0.750 (multiplicity 4)
Pt  0.250  0.250  0.250 (multiplicity 4)

Computed properties:
- Calculated volume: 374.3 Å³/cell
- Crystal system: cubic

=====

2:
Computed, not measured: crystalline NdDyGaPt at its relaxed geometry at the GGA-PBE level of DFT.

Cell lengths 4.363, 3.904, 11.297 Å; angles 90.00, 90.00, 90.00 degrees
Space group Amm2 (No. 38)
Unique sites:
Nd  0.000  0.000  0.000 (multiplicity 2)
Dy  0.500  0.000  0.715 (multiplicity 2)
Ga  0.500  0.000  0.423 (multiplicity 2)
Pt  0.000  0.000  0.272 (multiplicity 2)

Computed properties:
- Calculated volume: 192.4 Å³/cell
- Crystal system: orthorhombic

=====

Which of them is most stable? Easy: 2.

=====

1:
Computed, not measured: crystalline NdDyGaRu at its relaxed geometry at the GGA-PBE level of DFT.

Cell lengths 7.100, 7.100, 7.100 Å; angles 90.00, 90.00, 90.00 degrees
Space group F-43m (No. 216)
Unique sites:
Nd  0.000  0.000  0.000 (multiplicity 4)
Dy  0.000  0.000  0.500 (multiplicity 4)
Ga  0.250  0.250  0.250 (multiplicity 4)
Ru  0.250  0.250  0.750 (multiplicity 4)

Computed properties:
- Calculated volume: 357.9 Å³/cell
- Crystal system: cubic

=====

2:
Computed, not measured: crystalline NdDyGaRu at its relaxed geometry at the GGA-PBE level of DFT.

Cell lengths 4.339, 4.031, 10.816 Å; angles 90.00, 90.00, 90.00 degrees
Space group Amm2 (No. 38)
Unique sites:
Nd  0.000  0.000  0.000 (multiplicity 2)
Dy  0.500  0.000  0.716 (multiplicity 2)
Ga  0.500  0.000  0.418 (multiplicity 2)
Ru  0.000  0.000  0.286 (multiplicity 2)

Computed properties:
- Calculated volume: 189.2 Å³/cell
- Crystal system: orthorhombic

=====

Which of them is most stable? Easy: 2.

=====

1:
Computed, not measured: crystalline NdDyTlGa at its relaxed geometry at the GGA-PBE level of DFT.

Cell lengths 3.687, 3.687, 7.710 Å; angles 90.00, 90.00, 90.00 degrees
Space group P4mm (No. 99)
Unique sites:
Nd  0.000  0.000  0.000 (multiplicity 1)
Dy  0.000  0.000  0.466 (multiplicity 1)
Tl  0.500  0.500  0.721 (multiplicity 1)
Ga  0.500  0.500  0.244 (multiplicity 1)

Computed properties:
- Calculated volume: 104.8 Å³/cell
- Crystal system: tetragonal

=====

2:
Computed, not measured: crystalline NdDyTlGa at its relaxed geometry at the GGA-PBE level of DFT.

Cell lengths 7.508, 7.508, 7.508 Å; angles 90.00, 90.00, 90.00 degrees
Space group F-43m (No. 216)
Unique sites:
Nd  0.000  0.000  0.000 (multiplicity 4)
Dy  0.000  0.000  0.500 (multiplicity 4)
Tl  0.250  0.250  0.750 (multiplicity 4)
Ga  0.250  0.250  0.250 (multiplicity 4)

Computed properties:
- Calculated volume: 423.2 Å³/cell
- Crystal system: cubic

=====

Which of them is most stable? Easy: 1.